(1)
First-principles (PBE-GGA) data for an optimized crystal structure of LiPuAgBr6, as listed in Alexandria via LeMat-Bulk.

Results
* crystal system: trigonal

Unit cell a=6.957 b=6.957 c=12.905 alpha=90.00 beta=90.00 gamma=120.00
Site moments in Bohr magnetons follow the coordinates.
Atoms (fractional coordinates):
Li  0.667  0.333  0.750  0.00
Br  0.000  0.656  0.872  -0.08
Br  0.344  0.000  0.628  -0.08
Br  0.000  0.344  0.628  -0.08
Br  0.000  0.656  0.372  -0.08
Pu  0.333  0.667  0.750  4.55
Br  0.344  0.344  0.872  -0.08
Li  0.333  0.667  0.250  0.00
Br  0.344  0.000  0.128  -0.08
Br  0.656  0.656  0.628  -0.08
Br  0.656  0.000  0.372  -0.08
Br  0.344  0.344  0.372  -0.08
Pu  0.667  0.333  0.250  4.55
Ag  0.000  0.000  0.000  -0.04
Br  0.656  0.656  0.128  -0.08
Br  0.000  0.344  0.128  -0.08
Br  0.656  0.000  0.872  -0.08
Ag  0.000  0.000  0.500  -0.04

(2)
First-principles (PBE-GGA) data for an optimized crystal structure of LiPuAg2Br8, as listed in Alexandria via LeMat-Bulk.

Results
* crystal system: tetragonal

Unit cell a=7.973 b=7.973 c=7.973 alpha=109.99 beta=109.99 gamma=108.44
Site moments in Bohr magnetons follow the coordinates.
Atoms (fractional coordinates):
Br  0.970  0.285  0.315  -0.06
Li  0.000  0.000  0.000  0.00
Pu  0.250  0.750  0.500  4.64
Ag  0.500  0.500  0.000  -0.08
Br  0.345  0.030  0.315  -0.06
Br  0.902  0.706  0.196  -0.09
Br  0.294  0.489  0.196  -0.09
Ag  0.750  0.250  0.500  -0.04
Br  0.511  0.706  0.804  -0.09
Br  0.970  0.655  0.685  -0.06
Br  0.294  0.098  0.804  -0.09
Br  0.715  0.030  0.685  -0.06

no.,uncorrected formation energy (eV per atom)
1,-1.115
2,-0.775